# 1
# HoPu6Te8, relaxed, DFT GGA-PBE
data_HoPu6Te8
_cell_length_a 8.858
_cell_length_b 8.858
_cell_length_c 8.858
_cell_angle_alpha 60.00
_cell_angle_beta 60.00
_cell_angle_gamma 60.00
_space_group_name_H-M_alt 'P 1'
_space_group_IT_number 1
loop_
_space_group_symop_operation_xyz
'x,y,z'
loop_
_atom_site_label
_atom_site_fract_x
_atom_site_fract_y
_atom_site_fract_z
Ho1 0.000 0.000 0.000
Pu1 0.000 0.000 0.500
Pu2 0.000 0.500 0.000
Pu3 0.000 0.500 0.500
Pu4 0.500 0.000 0.000
Pu5 0.500 0.000 0.500
Pu6 0.500 0.500 0.000
Te1 0.249 0.249 0.751
Te2 0.249 0.751 0.249
Te3 0.249 0.751 0.751
Te4 0.250 0.250 0.250
Te5 0.750 0.750 0.750
Te6 0.751 0.249 0.249
Te7 0.751 0.249 0.751
Te8 0.751 0.751 0.249
# - total magnetic moment (μB per atom) = 2.319
# - DFT total energy (eV per atom) = -8.854
# - raw formation energy (eV per formula unit) = -17.11



# 2
# Ho3PuTe, relaxed, DFT GGA-PBE
data_Ho3PuTe
_cell_length_a 6.488
_cell_length_b 6.488
_cell_length_c 9.862
_cell_angle_alpha 107.14
_cell_angle_beta 107.14
_cell_angle_gamma 52.88
_space_group_name_H-M_alt 'P 1'
_space_group_IT_number 1
loop_
_space_group_symop_operation_xyz
'x,y,z'
loop_
_atom_site_label
_atom_site_fract_x
_atom_site_fract_y
_atom_site_fract_z
Ho1 0.090 0.090 0.352
Ho2 0.351 0.351 0.855
Ho3 0.372 0.372 0.236
Ho4 0.628 0.628 0.764
Ho5 0.649 0.649 0.145
Ho6 0.910 0.910 0.648
Pu1 0.111 0.111 0.977
Pu2 0.889 0.889 0.023
Te1 0.359 0.359 0.547
Te2 0.641 0.641 0.453
# - total magnetic moment (μB per atom) = 1.189
# - DFT total energy (eV per atom) = -6.497
# - raw formation energy (eV per formula unit) = -1.28